(1)
A plane-wave DFT calculation with PBE was carried out for an optimized crystal structure of Dy2Tm3In2.

Lattice parameters (Å, degrees): 6.6608 6.6608 8.4796 99.21 99.21 32.41
Positions (direct):
Dy 0.1330 0.1330 0.4363
Dy 0.8670 0.8670 0.5637
Tm 0.0000 0.0000 0.0000
Tm 0.2631 0.2631 0.8419
Tm 0.7369 0.7369 0.1581
In 0.4366 0.4366 0.2699
In 0.5634 0.5634 0.7301

## Properties
ΔE to the lowest computed polymorph   0.0 meV per atom
DOS(E_F)   6.42 states/eV per cell
Space group   C2/m
Energy of formation   -6.244 kcal/mol of atoms

=====

(2)
A plane-wave DFT calculation with PBE was carried out for an optimized crystal structure of SmSO.

Lattice parameters (Å, degrees): 7.2241 7.2241 3.7562 90.00 90.00 120.00
Positions (direct):
Sm 0.0000 0.0000 0.0000
Sm 0.3333 0.6667 0.5000
Sm 0.6667 0.3333 0.5000
S 0.0000 0.7336 0.5000
S 0.2664 0.2664 0.5000
S 0.7336 0.0000 0.5000
O 0.0000 0.4382 0.0000
O 0.4382 0.0000 0.0000
O 0.5618 0.5618 0.0000

## Properties
DOS(E_F)   6.31 states/eV per cell
Space group   P-62m
Formation energy (no corrections)   -1.519 eV per atom

=====

(3)
A plane-wave DFT calculation with PBE was carried out for an optimized crystal structure of Li2AcCd4.

Lattice parameters (Å, degrees): 10.3994 10.3994 10.3994 160.55 152.01 34.31
Positions (direct):
Li 0.1975 0.1975 0.0000
Li 0.8025 0.8025 0.0000
Ac 0.5000 0.0000 0.5000
Cd 0.0806 0.5806 0.5000
Cd 0.3390 0.3390 0.0000
Cd 0.6610 0.6610 0.0000
Cd 0.9194 0.4194 0.5000

## Properties
ΔE to the lowest computed polymorph   0.0 meV per atom
DOS(E_F)   3.75 states/eV per cell
Space group   Immm
Energy of formation   -4.278 kcal/mol of atoms

=====

(4)
A plane-wave DFT calculation with PBE was carried out for an optimized crystal structure of Si2HgSe.

Lattice parameters (Å, degrees): 7.1948 7.1948 7.1948 131.78 131.78 70.58
Positions (direct):
Si 0.1243 0.6250 0.9993
Si 0.3750 0.3743 0.4993
Si 0.6257 0.1250 0.0007
Si 0.8750 0.8757 0.5007
Hg 0.0000 0.0000 0.0000
Hg 0.7500 0.2500 0.5000
Se 0.2500 0.7500 0.5000
Se 0.5000 0.5000 0.0000

## Properties
ΔE to the lowest computed polymorph   214.6 meV per atom
DOS(E_F)   0.07 states/eV per cell
Space group   I-42d
Formation energy (no corrections)   0.364 eV per atom

=====

(5)
A plane-wave DFT calculation with PBE was carried out for an optimized crystal structure of MgCr2Pb.

Lattice parameters (Å, degrees): 5.0567 5.0567 5.0567 128.75 128.75 75.41
Positions (direct):
Mg 0.0000 0.0000 0.0000
Cr 0.2500 0.7500 0.5000
Cr 0.7500 0.2500 0.5000
Pb 0.5000 0.5000 0.0000

## Properties
DOS(E_F)   1.55 states/eV per cell
Space group   I4/mmm
Energy of formation   11.945 kcal/mol of atoms

=====

(6)
A plane-wave DFT calculation with PBE was carried out for an optimized crystal structure of Cs2PbAuF6.

Lattice parameters (Å, degrees): 6.9442 6.9442 6.9442 124.47 124.47 82.41
Positions (direct):
Cs 0.2500 0.7500 0.5000
Cs 0.7500 0.2500 0.5000
Pb 0.0000 0.0000 0.0000
Au 0.5000 0.5000 0.0000
F 0.2253 0.2253 0.0000
F 0.2614 0.2614 0.5229
F 0.2614 0.7386 0.0000
F 0.7386 0.2614 0.0000
F 0.7386 0.7386 0.4771
F 0.7747 0.7747 0.0000

## Properties
DOS(E_F)   3.81 states/eV per cell
Space group   I4/mmm
Formation energy (no corrections)   -2.091 eV per atom

=====

(7)
A plane-wave DFT calculation with PBE was carried out for an optimized crystal structure of NiC.

Lattice parameters (Å, degrees): 3.6678 3.6678 3.6678 60.00 60.00 60.00
Positions (direct):
Ni 0.1250 0.1250 0.1250
Ni 0.8750 0.8750 0.8750
C 0.3750 0.3750 0.3750
C 0.6250 0.6250 0.6250

## Properties
DOS(E_F)   3.18 states/eV per cell
Space group   Fd-3m
Energy of formation   47.194 kcal/mol of atoms

=====

(8)
A plane-wave DFT calculation with PBE was carried out for an optimized crystal structure of Ga2Ni5Pt2.

Lattice parameters (Å, degrees): 5.9160 5.9160 5.9057 107.63 107.63 35.66
Positions (direct):
Ga 0.1241 0.1241 0.1893
Ga 0.8759 0.8759 0.8107
Ni 0.0000 0.0000 0.5000
Ni 0.2231 0.2231 0.8216
Ni 0.3337 0.3337 0.4985
Ni 0.6663 0.6663 0.5015
Ni 0.7769 0.7769 0.1784
Pt 0.4400 0.4400 0.1692
Pt 0.5601 0.5601 0.8308

## Properties
DOS(E_F)   12.52 states/eV per cell
Space group   C2/m
Energy of formation   -6.476 kcal/mol of atoms

=====

(9)
A plane-wave DFT calculation with PBE was carried out for an optimized crystal structure of CeYTmAl.

Lattice parameters (Å, degrees): 5.3190 5.3190 5.3190 60.00 60.00 60.00
Positions (direct):
Ce 0.0000 0.0000 0.0000
Y 0.5000 0.5000 0.5000
Tm 0.2500 0.2500 0.2500
Al 0.7500 0.7500 0.7500

## Properties
DOS(E_F)   8.02 states/eV per cell
Space group   F-43m
Energy of formation   -1.235 kcal/mol of atoms

=====

(10)
A plane-wave DFT calculation with PBE was carried out for an optimized crystal structure of RePt2F.

Lattice parameters (Å, degrees): 4.3445 4.3445 4.3445 60.00 60.00 60.00
Positions (direct):
Re 0.0000 0.0000 0.0000
Pt 0.2500 0.2500 0.2500
Pt 0.7500 0.7500 0.7500
F 0.5000 0.5000 0.5000

## Properties
ΔE to the lowest computed polymorph   0.0 meV per atom
DOS(E_F)   4.94 states/eV per cell
Space group   Fm-3m
Formation energy (no corrections)   0.181 eV per atom

=====

(11)
A plane-wave DFT calculation with PBE was carried out for an optimized crystal structure of Ca3Al2Cu9.

Lattice parameters (Å, degrees): 7.9951 7.9951 7.9951 149.59 112.24 76.06
Positions (direct):
Ca 0.0000 0.0000 0.0000
Ca 0.2938 0.2938 0.0000
Ca 0.7062 0.7062 0.0000
Al 0.3028 0.5000 0.8028
Al 0.6972 0.5000 0.1972
Cu 0.0207 0.6689 0.3518
Cu 0.1600 0.8742 0.2858
Cu 0.3171 0.6689 0.6482
Cu 0.4116 0.1258 0.2858
Cu 0.5000 0.0000 0.5000
Cu 0.5884 0.8742 0.7142
Cu 0.6829 0.3311 0.3518
Cu 0.8400 0.1258 0.7142
Cu 0.9793 0.3311 0.6482

## Properties
DOS(E_F)   5.74 states/eV per cell
Space group   Immm
Energy of formation   -3.577 kcal/mol of atoms

=====

(12)
A plane-wave DFT calculation with PBE was carried out for an optimized crystal structure of Ba3ErC2N6.

Lattice parameters (Å, degrees): 5.7552 5.7552 6.9889 90.00 90.00 120.00
Positions (direct):
Ba 0.0000 0.0000 0.0000
Ba 0.3333 0.6667 0.6854
Ba 0.6667 0.3333 0.3146
Er 0.0000 0.0000 0.5000
C 0.3333 0.6667 0.2888
C 0.6667 0.3333 0.7112
N 0.1950 0.3900 0.2974
N 0.1950 0.8050 0.2974
N 0.3900 0.1950 0.7026
N 0.6100 0.8050 0.2974
N 0.8050 0.1950 0.7026
N 0.8050 0.6100 0.7026

## Properties
DOS(E_F)   4.51 states/eV per cell
Space group   P-3m1
Formation energy (no corrections)   -0.663 eV per atom

=====

(13)
A plane-wave DFT calculation with PBE was carried out for an optimized crystal structure of RbHoI4.

Lattice parameters (Å, degrees): 10.5372 10.5372 7.8409 99.29 99.29 117.12
Positions (direct):
Rb 0.2390 0.7610 0.7500
Rb 0.7610 0.2390 0.2500
Ho 0.0662 0.9338 0.2500
Ho 0.9338 0.0662 0.7500
I 0.0010 0.3618 0.7049
I 0.1028 0.2175 0.1462
I 0.2175 0.1028 0.6462
I 0.3618 0.0010 0.2049
I 0.6382 0.9990 0.7951
I 0.7825 0.8972 0.3538
I 0.8972 0.7825 0.8538
I 0.9990 0.6382 0.2951

## Properties
ΔE to the lowest computed polymorph   0.0 meV per atom
DOS(E_F)   0.00 states/eV per cell
Space group   C2/c
Formation energy (no corrections)   -1.426 eV per atom

=====

(14)
A plane-wave DFT calculation with PBE was carried out for an optimized crystal structure of La2Sn3GeIr4.

Lattice parameters (Å, degrees): 4.4810 4.4810 10.7684 90.00 90.00 90.00
Positions (direct):
La 0.0000 0.5000 0.2426
La 0.5000 0.0000 0.7574
Sn 0.0000 0.0000 0.0000
Sn 0.0000 0.5000 0.6334
Sn 0.5000 0.0000 0.3666
Ge 0.5000 0.5000 0.0000
Ir 0.0000 0.0000 0.5000
Ir 0.0000 0.5000 0.8764
Ir 0.5000 0.0000 0.1236
Ir 0.5000 0.5000 0.5000

## Properties
DOS(E_F)   5.24 states/eV per cell
Space group   P-4m2
Energy of formation   -14.297 kcal/mol of atoms

=====

(15)
A plane-wave DFT calculation with PBE was carried out for an optimized crystal structure of LiMn2Pt.

Lattice parameters (Å, degrees): 4.7481 4.7481 4.7481 138.04 138.04 60.85
Positions (direct):
Li 0.0000 0.0000 0.0000
Mn 0.2500 0.7500 0.5000
Mn 0.7500 0.2500 0.5000
Pt 0.5000 0.5000 0.0000

## Properties
DOS(E_F)   4.26 states/eV per cell
Space group   I4/mmm
Energy of formation   1.075 kcal/mol of atoms

=====

(16)
A plane-wave DFT calculation with PBE was carried out for an optimized crystal structure of NaSb2Pd2.

Lattice parameters (Å, degrees): 4.7316 4.7316 10.7205 90.00 90.00 80.53
Positions (direct):
Na 0.2000 0.8000 0.7500
Na 0.8000 0.2000 0.2500
Sb 0.3087 0.6913 0.1075
Sb 0.3087 0.6913 0.3925
Sb 0.6913 0.3087 0.6075
Sb 0.6913 0.3087 0.8925
Pd 0.2028 0.2028 0.0000
Pd 0.2028 0.2028 0.5000
Pd 0.7972 0.7972 0.0000
Pd 0.7972 0.7972 0.5000

## Properties
ΔE to the lowest computed polymorph   0.0 meV per atom
DOS(E_F)   4.57 states/eV per cell
Space group   Cmcm
Formation energy (no corrections)   -0.448 eV per atom

=====

(17)
A plane-wave DFT calculation with PBE was carried out for an optimized crystal structure of CsBeGaH6.

Lattice parameters (Å, degrees): 4.4446 4.4446 6.4363 90.00 90.00 120.00
Positions (direct):
Cs 0.0000 0.0000 0.0000
Be 0.6667 0.3333 0.5000
Ga 0.3333 0.6667 0.5000
H 0.3761 0.0212 0.3521
H 0.3761 0.3550 0.6479
H 0.6450 0.0212 0.6479
H 0.6450 0.6239 0.3521
H 0.9788 0.3550 0.3521
H 0.9788 0.6239 0.6479

## Properties
Raw total energy   -27.30 eV per cell
Space group   P312

=====

(18)
A plane-wave DFT calculation with PBE was carried out for an optimized crystal structure of YNi2H2.

Lattice parameters (Å, degrees): 4.9432 4.9432 4.9432 138.49 138.49 60.15
Positions (direct):
Y 0.0000 0.0000 0.0000
Ni 0.3233 0.3233 0.0000
Ni 0.6767 0.6767 0.0000
H 0.2500 0.7500 0.5000
H 0.7500 0.2500 0.5000

## Properties
Raw total energy   -26.15 eV per cell
DOS(E_F)   1.64 states/eV per cell
Space group   I4/mmm

=====

(19)
A plane-wave DFT calculation with PBE was carried out for an optimized crystal structure of YGaSbI2.

Lattice parameters (Å, degrees): 5.4789 5.4789 5.5441 90.00 90.00 90.00
Positions (direct):
Y 0.0000 0.0000 0.0000
Ga 0.5000 0.5000 0.5000
Sb 0.5000 0.5000 0.0000
I 0.0000 0.5000 0.5000
I 0.5000 0.0000 0.5000

## Properties
ΔE to the lowest computed polymorph   317.3 meV per atom
DOS(E_F)   2.25 states/eV per cell
Space group   P4/mmm
Formation energy (no corrections)   -0.016 eV per atom

=====

(20)
A plane-wave DFT calculation with PBE was carried out for an optimized crystal structure of Nd2Y4Tm3.

Lattice parameters (Å, degrees): 9.9883 9.9883 6.1514 94.92 94.92 71.29
Positions (direct):
Nd 0.0257 0.7326 0.6775
Nd 0.2674 0.9743 0.8225
Nd 0.7326 0.0257 0.1775
Nd 0.9743 0.2674 0.3225
Y 0.0777 0.3517 0.8485
Y 0.3117 0.5932 0.9860
Y 0.3517 0.0777 0.3485
Y 0.4068 0.6883 0.5140
Y 0.5932 0.3117 0.4860
Y 0.6483 0.9223 0.6515
Y 0.6883 0.4068 0.0140
Y 0.9223 0.6483 0.1515
Tm 0.0966 0.9034 0.2500
Tm 0.2358 0.4333 0.4092
Tm 0.4333 0.2358 0.9092
Tm 0.5667 0.7642 0.0908
Tm 0.7642 0.5667 0.5908
Tm 0.9034 0.0966 0.7500

## Properties
DOS(E_F)   24.94 states/eV per cell
Space group   C2/c
Energy of formation   2.105 kcal/mol of atoms

=====

(21)
A plane-wave DFT calculation with PBE was carried out for an optimized crystal structure of KEr2P2N6.

Lattice parameters (Å, degrees): 6.4218 6.4218 6.3417 116.94 116.94 58.25
Positions (direct):
K 0.0000 0.0000 0.0000
Er 0.3242 0.3242 0.6956
Er 0.6758 0.6758 0.3044
P 0.3442 0.3442 0.2528
P 0.6558 0.6558 0.7472
N 0.0891 0.5070 0.3318
N 0.4349 0.4349 0.1303
N 0.4930 0.9109 0.6682
N 0.5070 0.0891 0.3318
N 0.5651 0.5651 0.8697
N 0.9109 0.4930 0.6682

## Properties
DOS(E_F)   5.04 states/eV per cell
Space group   C2/m
Formation energy (no corrections)   -0.748 eV per atom